The following is a PBE calculation of PmPrCoI after structural relaxation, from Alexandria.

Computed properties:
**Energy**: -5.111 eV per atom
**D(E_F)**: 0.284 states/eV per atom
**Symmetry**: P1
**ΔE_f (raw)**: -564.4 meV per atom

a b c (Å): 4.058 4.056 8.481
angles (deg): 89.97 103.81 120.00
Positions (direct):
1 Pr 0.515 0.155 0.686
2 Co 0.305 0.551 0.871
3 Pm 0.092 0.944 0.051
4 I 0.965 0.381 0.361

=====

The following is a PBE calculation of Pm6CoPt2I3 after structural relaxation, from Alexandria.

Computed properties:
**Energy**: -5.317 eV per atom
**D(E_F)**: 0.608 states/eV per atom
**Symmetry**: C2/m
**ΔE_f (raw)**: -955.1 meV per atom

a b c (Å): 7.260 7.260 8.380
angles (deg): 98.29 98.29 120.02
Positions (direct):
1 I 0.500 0.500 0.500
2 I 0.834 0.166 0.500
3 Pt 0.667 0.333 0.000
4 Co 0.000 0.000 0.000
5 Pm 0.061 0.377 0.183
6 I 0.166 0.834 0.500
7 Pm 0.255 0.255 0.816
8 Pm 0.939 0.623 0.817
9 Pm 0.745 0.745 0.184
10 Pm 0.377 0.061 0.183
11 Pt 0.333 0.667 0.000
12 Pm 0.623 0.939 0.817

=====

The following is a PBE calculation of Pm6Co2RhI3 after structural relaxation, from Alexandria.

Computed properties:
**Energy**: -5.263 eV per atom
**D(E_F)**: 0.244 states/eV per atom
**Symmetry**: C2/m
**ΔE_f (raw)**: -703.7 meV per atom

a b c (Å): 7.066 7.066 8.407
angles (deg): 98.05 98.05 120.01
Positions (direct):
1 I 0.166 0.834 0.500
2 I 0.500 0.500 0.500
3 Pm 0.061 0.404 0.182
4 Pm 0.939 0.596 0.818
5 Rh 0.000 0.000 0.000
6 Co 0.333 0.667 0.000
7 Pm 0.404 0.061 0.182
8 Co 0.667 0.333 0.000
9 Pm 0.718 0.718 0.182
10 I 0.834 0.166 0.500
11 Pm 0.282 0.282 0.818
12 Pm 0.596 0.939 0.818

=====

The following is a PBE calculation of Pm8Co3RhI4 after structural relaxation, from Alexandria.

Computed properties:
**Energy**: -5.234 eV per atom
**D(E_F)**: 0.184 states/eV per atom
**Symmetry**: C2/m
**ΔE_f (raw)**: -678.9 meV per atom

a b c (Å): 8.136 9.339 8.136
angles (deg): 115.82 120.00 90.00
Positions (direct):
1 I 0.000 0.000 0.000
2 Co 0.500 0.500 0.000
3 Rh 0.000 0.500 0.000
4 Pm 0.281 0.317 0.048
5 Pm 0.768 0.318 0.537
6 Co 0.000 0.500 0.500
7 I 0.500 0.000 0.000
8 Co 0.500 0.500 0.500
9 Pm 0.232 0.682 0.463
10 Pm 0.767 0.317 0.048
11 Pm 0.233 0.683 0.952
12 Pm 0.719 0.683 0.952
13 I 0.500 0.000 0.500
14 I 0.000 0.000 0.500
15 Pm 0.273 0.319 0.545
16 Pm 0.727 0.681 0.455